MgAg3C2O6: relaxed, PBE.

Geometry as POSCAR:
```
MgAg3C2O6
1.0
-4.269 0.178 2.615
4.373 -0.564 2.378
0.617 7.027 0.531
Mg Ag C O
1 3 2 6
Cartesian
0.309 3.513 0.265
2.015 5.634 2.907
-1.294 1.006 2.617
0.000 0.000 0.000
-0.969 4.710 2.897
1.689 1.930 2.627
1.065 1.862 3.758
1.019 2.035 1.526
2.974 1.783 2.589
-0.298 4.605 3.999
-0.345 4.778 1.766
-2.253 4.857 2.935
```

* DOS at the Fermi energy: 2.2 states/eV per cell
* V: 153.7 Å³ per cell
* uncorrected formation energy: -1.07 eV per atom


Rb2Li2PbF7: relaxed, PBE.

Geometry as POSCAR:
```
Rb2Li2PbF7
1.0
3.964 -0.002 0.010
0.002 3.964 0.010
1.954 1.951 10.916
Rb Li Pb F
2 2 1 7
Cartesian
3.956 3.951 4.014
1.964 1.961 6.921
3.941 3.936 8.917
1.979 1.977 2.018
0.000 0.000 0.000
1.983 1.981 0.010
1.974 1.972 4.025
3.946 3.941 6.910
3.961 1.975 1.684
1.979 3.958 1.684
3.940 1.954 9.252
1.959 3.938 9.252
```

* DOS at the Fermi energy: 9.5 states/eV per cell
* V: 171.3 Å³ per cell
* uncorrected formation energy: -2.49 eV per atom


Pu3Ga7Ni4: relaxed, PBE.

Geometry as POSCAR:
```
Pu3Ga7Ni4
1.0
-3.435 -0.972 -2.132
-0.904 -7.761 0.941
-5.627 -1.721 5.798
Pu Ga Ni
3 7 4
Cartesian
-2.347 -2.037 0.656
-7.619 -8.417 3.952
-3.266 -4.741 3.370
-4.833 -7.625 3.156
-6.325 -3.569 3.710
-8.461 -5.459 3.959
-5.133 -2.829 1.451
-1.505 -4.995 0.648
0.000 0.000 0.000
-3.641 -6.885 0.897
-3.903 -4.582 0.269
-6.063 -5.872 4.338
-5.778 -8.397 0.976
-4.188 -2.057 3.632
```

* DOS at the Fermi energy: 35.8 states/eV per cell
* V: 238.8 Å³ per cell
* ΔE_f: -0.3993 eV/atom


LiSm6Al5: relaxed, PBE.

Geometry as POSCAR:
```
LiSm6Al5
1.0
-0.685 2.591 4.498
6.739 -1.961 2.155
2.602 7.795 -1.046
Al Sm Li
5 6 1
Cartesian
4.650 5.950 3.376
0.603 3.383 1.191
3.369 -0.980 1.078
1.314 7.003 2.261
4.006 2.476 2.232
5.366 3.303 5.010
1.982 4.287 3.927
1.357 0.801 2.793
4.697 -0.171 3.861
6.674 4.138 1.680
3.290 5.123 0.598
0.000 0.000 0.000
```

* DOS at the Fermi energy: 7.8 states/eV per cell
* V: 302.1 Å³ per cell
* ΔE_f: -0.3285 eV/atom


GaTe12Pd7: relaxed, PBE.

Geometry as POSCAR:
```
GaTe12Pd7
1.0
8.280 0.254 0.381
-2.059 8.024 0.381
-2.059 -2.739 7.551
Ga Te Pd
1 12 7
Cartesian
0.000 0.000 0.000
5.650 0.433 6.381
5.318 1.786 0.735
2.715 0.322 3.175
4.608 3.647 4.601
0.237 -1.480 5.455
2.222 2.150 6.793
1.940 3.388 1.520
3.925 7.018 2.857
-0.446 1.891 3.712
1.448 5.216 5.138
-1.155 3.752 7.577
-1.488 5.105 1.932
4.637 3.166 7.244
2.410 0.907 0.600
0.201 -0.435 2.601
2.081 2.769 4.156
3.961 5.974 5.712
1.752 4.631 7.713
-0.474 2.372 1.069
```

* DOS at the Fermi energy: 9.9 states/eV per cell
* V: 522.5 Å³ per cell
* uncorrected formation energy: -0.23 eV per atom


SmHfTlCd: relaxed, PBE.

Geometry as POSCAR:
```
SmHfTlCd
1.0
-3.461 -3.752 0.974
0.734 -4.773 -1.919
1.241 -3.917 3.182
Tl Hf Sm Cd
1 1 1 1
Cartesian
-1.115 -9.331 1.678
0.000 0.000 0.000
-0.743 -6.221 1.119
-0.372 -3.110 0.559
```

* DOS at the Fermi energy: 3.7 states/eV per cell
* V: 99.2 Å³ per cell
* ΔE_f: -0.0490 eV/atom


Sr3ZnBr: relaxed, PBE.

Geometry as POSCAR:
```
Sr3ZnBr
1.0
4.255 0.000 0.000
0.000 9.301 -3.609
0.000 -0.269 9.709
Sr Zn Br
6 2 2
Cartesian
1.064 5.689 0.978
3.191 3.343 5.123
1.064 0.189 6.658
3.191 2.237 -0.135
3.191 8.843 -0.557
1.064 6.795 6.235
3.191 5.408 -1.501
1.064 3.624 7.601
3.191 6.224 3.626
1.064 2.808 2.474
```

* E above lowest polymorph: 0.0 meV per atom
* DOS at the Fermi energy: 6.5 states/eV per cell
* V: 380.1 Å³ per cell
* uncorrected formation energy: -0.64 eV per atom


ZnGe2Se6: relaxed, PBE.

Geometry as POSCAR:
```
ZnGe2Se6
1.0
-2.634 2.443 5.753
-0.133 -7.146 5.273
6.729 4.708 3.382
Zn Ge Se
2 4 12
Cartesian
4.690 2.933 5.201
-0.727 -2.927 9.208
4.821 -0.717 6.638
1.322 0.993 4.656
-0.859 0.722 7.771
2.640 -0.987 9.753
2.871 -1.825 7.499
1.252 -1.390 4.352
1.092 1.830 6.910
2.711 1.395 10.057
0.902 -2.102 10.857
-1.075 -1.540 7.206
3.061 2.108 3.552
5.038 1.546 7.203
-0.152 -5.930 4.948
-0.361 -5.292 8.181
4.114 5.935 9.461
4.324 5.297 6.228
```

* V: 489.9 Å³ per cell
* uncorrected formation energy: -0.21 eV per atom


CaGdGa4: relaxed, PBE.

Geometry as POSCAR:
```
CaGdGa4
1.0
5.578 0.000 0.000
2.789 4.830 0.000
2.789 1.610 4.554
Ca Gd Ga
1 1 4
Cartesian
0.000 0.000 0.000
2.789 1.610 1.139
5.578 3.220 0.574
5.578 1.614 2.845
6.968 4.023 2.845
4.187 4.023 2.845
```

* DOS at the Fermi energy: 4.0 states/eV per cell
* V: 122.7 Å³ per cell
* ΔE_f: -0.4890 eV/atom


Ce2Cd6Pd3: relaxed, PBE.

Geometry as POSCAR:
```
Ce2Cd6Pd3
1.0
4.298 0.000 0.000
0.000 7.170 -4.140
0.000 0.000 8.279
Ce Cd Pd
2 6 3
Cartesian
0.000 4.780 0.000
0.000 2.390 4.140
2.149 5.177 2.989
2.149 0.000 2.302
0.000 1.459 0.842
0.000 5.711 -3.297
2.149 1.993 -1.151
0.000 0.000 6.595
2.149 2.878 1.662
2.149 4.292 -2.478
2.149 0.000 4.956
```

* DOS at the Fermi energy: 18.6 states/eV per cell
* V: 255.1 Å³ per cell
* ΔE_f: -0.3123 eV/atom


Dy6SbTe5: relaxed, PBE.

Geometry as POSCAR:
```
Dy6SbTe5
1.0
-5.138 -5.539 -0.530
3.526 -6.640 -0.473
1.654 -3.842 6.270
Dy Sb Te
6 1 5
Cartesian
-3.056 -5.976 1.606
1.373 -6.544 1.634
-0.417 -2.983 -0.246
-1.195 -9.196 -0.758
-1.331 -9.477 3.632
3.098 -10.045 3.661
0.000 0.000 0.000
-0.878 -6.434 3.797
1.727 -3.493 1.922
-0.806 -6.089 -0.502
3.453 -6.989 3.875
0.920 -9.587 1.470
```

* DOS at the Fermi energy: 5.7 states/eV per cell
* V: 351.4 Å³ per cell
* uncorrected formation energy: -1.28 eV per atom


Nd6Y8Tl: relaxed, PBE.

Geometry as POSCAR:
```
Nd6Y8Tl
1.0
6.377 0.000 0.000
0.000 8.301 -4.793
0.000 0.000 9.585
Nd Y Tl
6 8 1
Cartesian
4.385 5.284 -2.179
4.385 7.546 0.873
4.385 3.772 1.306
1.992 3.017 6.972
1.992 0.755 3.919
1.992 4.529 3.487
5.153 0.324 2.326
5.153 6.125 3.910
5.153 1.853 8.142
1.224 7.978 2.467
1.224 2.176 0.883
1.224 6.449 -3.349
5.239 2.767 4.793
1.138 5.534 0.000
3.189 0.000 0.000
```

* DOS at the Fermi energy: 19.2 states/eV per cell
* V: 507.4 Å³ per cell
* ΔE_f: 0.0684 eV/atom